Entry 1:
A geometry-optimized Pu4U3N8 structure. Source: the Alexandria database, functional PBE.

Total magnetic moment, μB/f.u.: 16.04
Theoretical density, g cm⁻³: 12.84
Raw total energy, eV per atom: -11.60
Uncorrected formation energy, eV per atom: -1.078

Cell: 6.899 6.899 6.858 Å, 119.48 119.48 90.66°
Fractional positions:
Pu (0.000, 0.000, 0.000)
Pu (0.000, 0.000, 0.500)
Pu (0.000, 0.500, 0.000)
Pu (0.500, 0.000, 0.000)
U (0.000, 0.500, 0.500)
U (0.500, 0.000, 0.500)
U (0.500, 0.500, 0.000)
N (0.236, 0.764, 0.500)
N (0.247, 0.247, 0.964)
N (0.250, 0.250, 0.524)
N (0.255, 0.745, 0.000)
N (0.745, 0.255, 0.000)
N (0.750, 0.750, 0.476)
N (0.753, 0.753, 0.036)
N (0.764, 0.236, 0.500)

Entry 2:
A geometry-optimized Pu2UN4 structure. Source: the Alexandria database, functional PBE.

Total magnetic moment, μB/f.u.: 10.00
Theoretical density, g cm⁻³: 13.97
Raw total energy, eV per atom: -11.63
Uncorrected formation energy, eV per atom: -1.166

Cell: 6.231 6.231 6.231 Å, 110.72 110.72 107.00°
Fractional positions:
Pu (0.375, 0.011, 0.136)
Pu (0.761, 0.625, 0.636)
Pu (0.875, 0.239, 0.864)
Pu (0.989, 0.125, 0.364)
U (0.250, 0.750, 0.500)
U (0.500, 0.500, 0.000)
N (0.134, 0.003, 0.742)
N (0.141, 0.510, 0.758)
N (0.260, 0.391, 0.258)
N (0.490, 0.247, 0.631)
N (0.609, 0.866, 0.869)
N (0.616, 0.859, 0.369)
N (0.753, 0.384, 0.242)
N (0.997, 0.740, 0.131)

Entry 3:
A geometry-optimized PuUN3 structure. Source: the Alexandria database, functional PBE.

Total magnetic moment, μB/f.u.: 5.00
Theoretical density, g cm⁻³: 10.89
Raw total energy, eV per atom: -11.03
Uncorrected formation energy, eV per atom: -0.906

Cell: 7.148 7.148 4.272 Å, 90.00 90.00 132.92°
Fractional positions:
Pu (0.163, 0.837, 0.000)
Pu (0.837, 0.163, 0.000)
U (0.374, 0.626, 0.500)
U (0.626, 0.374, 0.500)
N (0.000, 0.500, 0.500)
N (0.266, 0.266, 0.500)
N (0.333, 0.667, 0.000)
N (0.500, 0.000, 0.500)
N (0.667, 0.333, 0.000)
N (0.734, 0.734, 0.500)

Entry 4:
A geometry-optimized Pu2UN3 structure. Source: the Alexandria database, functional PBE.

Total magnetic moment, μB/f.u.: 10.98
Theoretical density, g cm⁻³: 14.37
Raw total energy, eV per atom: -12.09
Uncorrected formation energy, eV per atom: -1.273

Cell: 6.008 6.008 6.025 Å, 99.59 99.59 120.01°
Fractional positions:
Pu (0.082, 0.918, 0.750)
Pu (0.247, 0.753, 0.250)
Pu (0.753, 0.247, 0.750)
Pu (0.918, 0.082, 0.250)
U (0.414, 0.586, 0.750)
U (0.586, 0.414, 0.250)
N (0.000, 0.500, 0.500)
N (0.190, 0.346, 0.003)
N (0.346, 0.190, 0.503)
N (0.500, 0.000, 0.000)
N (0.654, 0.810, 0.497)
N (0.810, 0.654, 0.997)

Entry 5:
A geometry-optimized PuU2N4 structure. Source: the Alexandria database, functional PBE.

Total magnetic moment, μB/f.u.: 7.79
Theoretical density, g cm⁻³: 12.66
Raw total energy, eV per atom: -11.33
Uncorrected formation energy, eV per atom: -1.301

Cell: 5.879 5.879 10.567 Å, 90.00 90.00 146.13°
Fractional positions:
Pu (0.114, 0.886, 0.750)
Pu (0.886, 0.114, 0.250)
U (0.370, 0.630, 0.572)
U (0.370, 0.630, 0.928)
U (0.630, 0.370, 0.072)
U (0.630, 0.370, 0.428)
N (0.000, 0.000, 0.000)
N (0.000, 0.000, 0.500)
N (0.267, 0.733, 0.106)
N (0.267, 0.733, 0.394)
N (0.469, 0.531, 0.750)
N (0.531, 0.469, 0.250)
N (0.733, 0.267, 0.606)
N (0.733, 0.267, 0.894)

Entry 6:
A geometry-optimized Pu5UN6 structure. Source: the Alexandria database, functional PBE.

Total magnetic moment, μB/f.u.: 25.98
Theoretical density, g cm⁻³: 14.24
Raw total energy, eV per atom: -12.34
Uncorrected formation energy, eV per atom: -1.265

Cell: 6.040 6.040 6.039 Å, 99.59 99.59 119.99°
Fractional positions:
Pu (0.000, 0.000, 0.000)
Pu (0.166, 0.834, 0.500)
Pu (0.331, 0.669, 0.000)
Pu (0.669, 0.331, 0.000)
Pu (0.834, 0.166, 0.500)
U (0.500, 0.500, 0.500)
N (0.098, 0.420, 0.258)
N (0.261, 0.261, 0.744)
N (0.420, 0.098, 0.258)
N (0.580, 0.902, 0.742)
N (0.739, 0.739, 0.256)
N (0.902, 0.580, 0.742)

Entry 7:
A geometry-optimized Pu2UN4 structure. Source: the Alexandria database, functional PBE.

Total magnetic moment, μB/f.u.: 10.00
Theoretical density, g cm⁻³: 12.75
Raw total energy, eV per atom: -11.79
Uncorrected formation energy, eV per atom: -1.324

Cell: 5.765 10.013 3.530 Å, 90.00 90.00 90.00°
Fractional positions:
Pu (0.053, 0.176, 0.000)
Pu (0.447, 0.676, 0.000)
Pu (0.553, 0.324, 0.000)
Pu (0.947, 0.824, 0.000)
U (0.000, 0.500, 0.500)
U (0.500, 0.000, 0.500)
N (0.155, 0.695, 0.500)
N (0.239, 0.464, 0.000)
N (0.261, 0.964, 0.000)
N (0.345, 0.195, 0.500)
N (0.655, 0.805, 0.500)
N (0.739, 0.036, 0.000)
N (0.761, 0.536, 0.000)
N (0.845, 0.305, 0.500)

Entry 8:
A geometry-optimized Pu3UN6 structure. Source: the Alexandria database, functional PBE.

Total magnetic moment, μB/f.u.: 5.38
Theoretical density, g cm⁻³: 11.97
Raw total energy, eV per atom: -11.47
Uncorrected formation energy, eV per atom: -1.047

Cell: 5.914 5.914 5.914 Å, 59.98 59.98 59.98°
Fractional positions:
Pu (0.000, 0.000, 0.000)
Pu (0.225, 0.225, 0.225)
Pu (0.500, 0.500, 0.500)
U (0.724, 0.724, 0.724)
N (0.092, 0.421, 0.850)
N (0.354, 0.913, 0.604)
N (0.421, 0.850, 0.092)
N (0.604, 0.354, 0.913)
N (0.850, 0.092, 0.421)
N (0.913, 0.604, 0.354)

Entry 9:
A geometry-optimized Pu3UN6 structure. Source: the Alexandria database, functional PBE.

Total magnetic moment, μB/f.u.: 12.00
Theoretical density, g cm⁻³: 11.36
Raw total energy, eV per atom: -11.32
Uncorrected formation energy, eV per atom: -0.898

Cell: 5.742 5.742 10.790 Å, 90.00 90.00 120.00°
Fractional positions:
Pu (0.000, 0.000, 0.000)
Pu (0.000, 0.000, 0.500)
Pu (0.333, 0.667, 0.056)
Pu (0.333, 0.667, 0.444)
Pu (0.667, 0.333, 0.556)
Pu (0.667, 0.333, 0.944)
U (0.333, 0.667, 0.750)
U (0.667, 0.333, 0.250)
N (0.054, 0.368, 0.617)
N (0.054, 0.686, 0.883)
N (0.314, 0.368, 0.883)
N (0.314, 0.946, 0.617)
N (0.368, 0.054, 0.383)
N (0.368, 0.314, 0.117)
N (0.632, 0.686, 0.617)
N (0.632, 0.946, 0.883)
N (0.686, 0.054, 0.117)
N (0.686, 0.632, 0.383)
N (0.946, 0.314, 0.383)
N (0.946, 0.632, 0.117)

Entry 10:
A geometry-optimized Pu5U3N8 structure. Source: the Alexandria database, functional PBE.

Total magnetic moment, μB/f.u.: 4.56
Theoretical density, g cm⁻³: 14.47
Raw total energy, eV per atom: -12.03
Uncorrected formation energy, eV per atom: -1.277

Cell: 6.915 6.915 6.915 Å, 60.20 60.20 60.20°
Fractional positions:
Pu (0.000, 0.000, 0.000)
Pu (0.000, 0.500, 0.500)
Pu (0.500, 0.000, 0.500)
Pu (0.500, 0.500, 0.000)
Pu (0.500, 0.500, 0.500)
U (0.000, 0.000, 0.500)
U (0.000, 0.500, 0.000)
U (0.500, 0.000, 0.000)
N (0.233, 0.750, 0.750)
N (0.243, 0.243, 0.243)
N (0.250, 0.250, 0.767)
N (0.250, 0.767, 0.250)
N (0.750, 0.233, 0.750)
N (0.750, 0.750, 0.233)
N (0.757, 0.757, 0.757)
N (0.767, 0.250, 0.250)

Entry 11:
A geometry-optimized PuU2VN4 structure. Source: the Alexandria database, functional PBE.

Total magnetic moment, μB/f.u.: 4.88
Theoretical density, g cm⁻³: 12.55
Raw total energy, eV per atom: -11.04
Uncorrected formation energy, eV per atom: -1.127

Cell: 5.994 5.994 11.393 Å, 90.00 90.00 147.68°
Fractional positions:
Pu (0.105, 0.895, 0.750)
Pu (0.895, 0.105, 0.250)
U (0.368, 0.632, 0.552)
U (0.368, 0.632, 0.948)
U (0.632, 0.368, 0.052)
U (0.632, 0.368, 0.448)
V (0.158, 0.842, 0.250)
V (0.842, 0.158, 0.750)
N (0.000, 0.000, 0.000)
N (0.000, 0.000, 0.500)
N (0.272, 0.728, 0.120)
N (0.272, 0.728, 0.380)
N (0.446, 0.554, 0.750)
N (0.554, 0.446, 0.250)
N (0.728, 0.272, 0.620)
N (0.728, 0.272, 0.880)

Entry 12:
A geometry-optimized Y2Pu3UN6 structure. Source: the Alexandria database, functional PBE.

Total magnetic moment, μB/f.u.: 16.31
Theoretical density, g cm⁻³: 11.47
Raw total energy, eV per atom: -11.19
Uncorrected formation energy, eV per atom: -1.428

Cell: 6.019 6.019 6.027 Å, 99.60 99.60 119.97°
Fractional positions:
Y (0.166, 0.834, 0.000)
Y (0.834, 0.166, 0.000)
Pu (0.000, 0.000, 0.500)
Pu (0.331, 0.669, 0.500)
Pu (0.669, 0.331, 0.500)
U (0.500, 0.500, 0.000)
N (0.102, 0.420, 0.759)
N (0.264, 0.264, 0.243)
N (0.420, 0.102, 0.759)
N (0.580, 0.898, 0.241)
N (0.736, 0.736, 0.757)
N (0.898, 0.580, 0.241)

Entry 13:
A geometry-optimized Pu3Zr2UN6 structure. Source: the Alexandria database, functional PBE.

Total magnetic moment, μB/f.u.: 14.86
Theoretical density, g cm⁻³: 12.35
Raw total energy, eV per atom: -11.58
Uncorrected formation energy, eV per atom: -1.471

Cell: 5.863 5.863 5.916 Å, 99.50 99.50 119.99°
Fractional positions:
Pu (0.000, 0.000, 0.000)
Pu (0.331, 0.669, 0.000)
Pu (0.669, 0.331, 0.000)
Zr (0.166, 0.834, 0.500)
Zr (0.834, 0.166, 0.500)
U (0.500, 0.500, 0.500)
N (0.092, 0.423, 0.270)
N (0.246, 0.246, 0.731)
N (0.423, 0.092, 0.270)
N (0.577, 0.908, 0.730)
N (0.754, 0.754, 0.269)
N (0.908, 0.577, 0.730)

Entry 14:
A geometry-optimized Pu2Zr3UN6 structure. Source: the Alexandria database, functional PBE.

Total magnetic moment, μB/f.u.: 9.98
Theoretical density, g cm⁻³: 11.20
Raw total energy, eV per atom: -11.17
Uncorrected formation energy, eV per atom: -1.539

Cell: 5.794 5.794 5.853 Å, 99.50 99.50 119.96°
Fractional positions:
Pu (0.167, 0.833, 0.000)
Pu (0.833, 0.167, 0.000)
Zr (0.000, 0.000, 0.500)
Zr (0.330, 0.670, 0.500)
Zr (0.670, 0.330, 0.500)
U (0.500, 0.500, 0.000)
N (0.088, 0.413, 0.738)
N (0.264, 0.264, 0.262)
N (0.413, 0.088, 0.738)
N (0.587, 0.912, 0.262)
N (0.736, 0.736, 0.738)
N (0.912, 0.587, 0.262)

Entry 15:
A geometry-optimized Pu2VN structure. Source: the Alexandria database, functional PBE.

Total magnetic moment, μB/f.u.: 8.21
Theoretical density, g cm⁻³: 13.50
Raw total energy, eV per atom: -11.23
Uncorrected formation energy, eV per atom: 0.301

Cell: 4.186 4.186 4.186 Å, 76.37 76.37 76.37°
Fractional positions:
Pu (0.238, 0.238, 0.238)
Pu (0.762, 0.762, 0.762)
V (0.500, 0.500, 0.500)
N (0.000, 0.000, 0.000)

Entry 16:
A geometry-optimized PuVN structure. Source: the Alexandria database, functional PBE.

Total magnetic moment, μB/f.u.: 5.40
Theoretical density, g cm⁻³: 10.56
Raw total energy, eV per atom: -11.08
Uncorrected formation energy, eV per atom: -0.490

Cell: 5.764 5.764 7.137 Å, 90.00 90.00 55.06°
Fractional positions:
Pu (0.182, 0.182, 0.000)
Pu (0.318, 0.318, 0.500)
Pu (0.682, 0.682, 0.500)
Pu (0.818, 0.818, 0.000)
V (0.102, 0.898, 0.673)
V (0.398, 0.602, 0.173)
V (0.602, 0.398, 0.827)
V (0.898, 0.102, 0.327)
N (0.239, 0.761, 0.420)
N (0.261, 0.739, 0.920)
N (0.739, 0.261, 0.080)
N (0.761, 0.239, 0.580)

Entry 17:
A geometry-optimized Pu2V2N3 structure. Source: the Alexandria database, functional PBE.

Total magnetic moment, μB/f.u.: 9.26
Theoretical density, g cm⁻³: 11.42
Raw total energy, eV per atom: -11.34
Uncorrected formation energy, eV per atom: -1.075

Cell: 5.996 5.996 5.440 Å, 113.87 113.87 31.18°
Fractional positions:
Pu (0.103, 0.103, 0.309)
Pu (0.897, 0.897, 0.691)
V (0.339, 0.339, 0.170)
V (0.661, 0.661, 0.830)
N (0.250, 0.250, 0.762)
N (0.500, 0.500, 0.500)
N (0.750, 0.750, 0.238)

Entry 18:
A geometry-optimized PuVN3 structure. Source: the Alexandria database, functional PBE.

Total magnetic moment, μB/f.u.: 3.97
Theoretical density, g cm⁻³: 8.34
Raw total energy, eV per atom: -10.67
Uncorrected formation energy, eV per atom: -0.988

Cell: 5.302 3.691 7.169 Å, 90.00 107.00 90.00°
Fractional positions:
Pu (0.209, 0.250, 0.365)
Pu (0.791, 0.750, 0.635)
V (0.426, 0.250, 0.838)
V (0.574, 0.750, 0.162)
N (0.099, 0.250, 0.681)
N (0.423, 0.250, 0.111)
N (0.425, 0.750, 0.374)
N (0.575, 0.250, 0.626)
N (0.577, 0.750, 0.889)
N (0.901, 0.750, 0.319)

Entry 19:
A geometry-optimized Pu2VN4 structure. Source: the Alexandria database, functional PBE.

Total magnetic moment, μB/f.u.: 9.00
Theoretical density, g cm⁻³: 10.03
Raw total energy, eV per atom: -11.13
Uncorrected formation energy, eV per atom: -0.971

Cell: 5.724 5.562 6.541 Å, 90.00 108.96 90.00°
Fractional positions:
Pu (0.193, 0.250, 0.045)
Pu (0.282, 0.250, 0.569)
Pu (0.718, 0.750, 0.431)
Pu (0.807, 0.750, 0.955)
V (0.258, 0.750, 0.808)
V (0.742, 0.250, 0.192)
N (0.038, 0.505, 0.757)
N (0.038, 0.995, 0.757)
N (0.461, 0.750, 0.085)
N (0.462, 0.750, 0.642)
N (0.538, 0.250, 0.358)
N (0.539, 0.250, 0.915)
N (0.962, 0.005, 0.243)
N (0.962, 0.495, 0.243)

Entry 20:
A geometry-optimized PuVN3 structure. Source: the Alexandria database, functional PBE.

Total magnetic moment, μB/f.u.: 4.00
Theoretical density, g cm⁻³: 9.13
Raw total energy, eV per atom: -10.52
Uncorrected formation energy, eV per atom: -0.830

Cell: 3.328 5.989 6.257 Å, 83.59 81.39 88.49°
Fractional positions:
Pu (0.176, 0.201, 0.167)
Pu (0.824, 0.799, 0.833)
V (0.424, 0.353, 0.687)
V (0.576, 0.647, 0.313)
N (0.179, 0.607, 0.153)
N (0.306, 0.050, 0.822)
N (0.366, 0.683, 0.594)
N (0.634, 0.317, 0.406)
N (0.694, 0.950, 0.178)
N (0.821, 0.393, 0.847)